(1)
VASP calculation (GGA-PBE) on a geometry-optimized Er3ZrFe8 structure.

Cell and atoms, written as POSCAR:
```
Er3ZrFe8
1.0
-2.624 2.840 -3.279
-3.300 -2.183 -3.169
-7.980 1.150 3.463
Er Fe Zr
3 8 1
direct
0.000 0.000 0.001 Er
0.500 0.500 0.500 Er
0.375 0.375 0.875 Er
0.437 0.935 0.191 Fe
0.938 0.440 0.684 Fe
0.935 0.437 0.191 Fe
0.938 0.938 0.684 Fe
0.687 0.687 0.938 Fe
0.440 0.938 0.684 Fe
0.188 0.188 0.437 Fe
0.437 0.437 0.191 Fe
0.875 0.875 0.375 Zr
```

- formation enthalpy at 0 K (eV per atom) = -0.16

(2)
VASP calculation (GGA-PBE) on a geometry-optimized CuTc2Hg structure.

Cell and atoms, written as POSCAR:
```
CuTc2Hg
1.0
-4.001 1.656 -2.438
-4.545 -1.029 -1.728
-2.630 1.479 3.581
Tc Hg Cu
2 1 1
direct
0.005 0.005 0.980 Tc
0.495 0.495 0.520 Tc
0.250 0.250 0.250 Hg
0.750 0.750 0.750 Cu
```

- formation enthalpy at 0 K (eV per atom) = 0.50

(3)
VASP calculation (GGA-PBE) on a geometry-optimized PrCu2S3 structure.

Cell and atoms, written as POSCAR:
```
PrCu2S3
1.0
-1.386 -1.407 4.440
-3.811 -5.366 -2.890
6.690 -2.238 1.379
S Cu Pr
6 4 2
direct
0.250 0.887 0.113 S
0.250 0.448 0.160 S
0.750 0.113 0.887 S
0.750 0.160 0.448 S
0.250 0.840 0.552 S
0.750 0.552 0.840 S
0.500 0.189 0.189 Cu
0.000 0.811 0.811 Cu
0.000 0.189 0.189 Cu
0.500 0.811 0.811 Cu
0.750 0.732 0.268 Pr
0.250 0.268 0.732 Pr
```

- E_tot (eV/atom) = -5.076

(4)
VASP calculation (GGA-PBE) on a geometry-optimized LiPr2Cu6 structure.

Cell and atoms, written as POSCAR:
```
LiPr2Cu6
1.0
5.796 0.034 0.020
0.091 5.742 0.235
0.091 3.065 4.862
Cu Pr Li
6 2 1
direct
0.655 0.167 0.659 Cu
0.345 0.833 0.341 Cu
0.345 0.341 0.833 Cu
0.646 0.200 0.200 Cu
0.655 0.659 0.167 Cu
0.354 0.800 0.800 Cu
0.155 0.338 0.338 Pr
0.845 0.662 0.662 Pr
0.000 0.000 0.000 Li
```

- formation enthalpy at 0 K (eV per atom) = -0.06

| no. | V (A^3/atom) | total magnetic moment (μB per formula unit) |
| --- | --- | --- |
| 1 | 15.34 | 12.79 |
| 2 | 15.49 | 0.00 |
| 3 | 19.69 | 0.00 |
| 4 | 17.51 | 0.00 |